No. 1
A plane-wave DFT calculation with PBE was carried out for crystalline Na2Ga2As3 at its relaxed geometry.

Results
Energy relative to the elements (meV per atom): -318
Energy (eV for the cell shown): -99.5
Total magnetic moment (μB/cell): 0.000

Lattice parameters (Å, degrees): 6.6265 10.5398 10.5398 83.71 72.93 72.93
With the nearest neighbours (Å) after each atom.
Fractional positions:
Na 0.5891 0.8114 0.9821  4 As 2.92-3.25
As 0.6095 0.0192 0.7667  2 Ga 2.45-2.53
As 0.2822 0.4146 0.2731  3 Ga 2.48-2.54
As 0.2178 0.7269 0.5854  3 Ga 2.48-2.54
Ga 0.6923 0.3407 0.1944  4 As 2.45-2.58
As 0.7650 0.8572 0.4220  3 Ga 2.51-2.58
Na 0.0891 0.9821 0.8114  4 As 2.92-3.25
Ga 0.6486 0.0811 0.5236  4 As 2.48-2.53
Na 0.4109 0.1886 0.0179  4 As 2.92-3.25
Ga 0.1923 0.1944 0.3407  4 As 2.45-2.58
As 0.8905 0.2333 0.9808  2 Ga 2.45-2.53
As 0.2350 0.1428 0.5780  3 Ga 2.51-2.58
As 0.3905 0.9808 0.2333  2 Ga 2.45-2.53
As 0.1095 0.7667 0.0192  2 Ga 2.45-2.53
As 0.7178 0.5854 0.7269  3 Ga 2.48-2.54
Ga 0.8077 0.8056 0.6593  4 As 2.45-2.58
Ga 0.3514 0.9189 0.4764  4 As 2.48-2.53
As 0.7822 0.2731 0.4146  3 Ga 2.48-2.54
Ga 0.8514 0.4764 0.9189  4 As 2.48-2.53
As 0.7350 0.5780 0.1428  3 Ga 2.51-2.58
Na 0.2500 0.4325 0.5675  6 As 3.07-3.41
Ga 0.1486 0.5236 0.0811  4 As 2.48-2.53
Ga 0.3077 0.6593 0.8056  4 As 2.45-2.58
Na 0.9109 0.0179 0.1886  4 As 2.92-3.25
As 0.2650 0.4220 0.8572  3 Ga 2.51-2.58
Na 0.7500 0.5675 0.4325  6 As 3.07-3.41
Na 0.2500 0.7158 0.2842  6 As 3.10-3.14, 2 Ga 3.43
Na 0.7500 0.2842 0.7158  6 As 3.10-3.14, 2 Ga 3.43



No. 2
A plane-wave DFT calculation with PBE was carried out for crystalline Na10NbGaAs6 at its relaxed geometry.

Results
Energy relative to the elements (meV per atom): -482
Energy (eV for the cell shown): -125.7
Total magnetic moment (μB/cell): 0.000

Lattice parameters (Å, degrees): 7.5568 8.3970 15.8842 59.00 90.00 90.00
With the nearest neighbours (Å) after each atom.
Fractional positions:
As 0.4616 0.9769 0.9268  1 Nb 2.52, 1 Ga 2.65
Na 0.9119 0.3455 0.0835  4 As 2.92-3.10
Na 0.4003 0.6527 0.4190  4 As 2.98-3.08, 1 Na 3.29
Na 0.9063 0.6664 0.7594  4 As 2.93-2.97
As 0.0545 0.0222 0.0736  1 Nb 2.53, 1 Ga 2.59
Na 0.2636 0.5850 0.0864  5 As 3.02-3.37, 1 Na 3.35
Na 0.7364 0.5850 0.5864  5 As 3.02-3.37, 1 Na 3.35
Na 0.0881 0.3455 0.5835  4 As 2.92-3.10
Na 0.0937 0.6664 0.2594  4 As 2.93-2.97
As 0.5180 0.6908 0.7256  1 Nb 2.50
Na 0.2302 0.4219 0.9085  5 As 3.15-3.39, 4 Na 3.29-3.48, 1 Nb 3.43, 1 Ga 3.48
As 0.9981 0.7256 0.9214  1 Ga 2.53
Nb 0.3872 0.9894 0.0777  4 As 2.50-2.53
As 0.0019 0.7256 0.4214  1 Ga 2.53
Na 0.2601 0.2390 0.4215  4 As 2.99-3.21
As 0.9810 0.3222 0.2706  1 Ga 2.52
Na 0.7863 0.7499 0.0807  4 As 3.01-3.29
Na 0.7399 0.2390 0.9215  4 As 2.99-3.21
Ga 0.8867 0.0147 0.4149  4 As 2.52-2.65
As 0.5384 0.9769 0.4268  1 Nb 2.52, 1 Ga 2.65
Na 0.5997 0.6527 0.9190  4 As 2.98-3.08, 1 Na 3.29
Na 0.4054 0.3355 0.7435  4 As 2.94-3.03
As 0.4878 0.2658 0.5788  1 Nb 2.51
Na 0.2137 0.7499 0.5807  4 As 3.01-3.29
As 0.4820 0.6908 0.2256  1 Nb 2.50
Nb 0.6128 0.9894 0.5777  4 As 2.50-2.53
Na 0.7698 0.4219 0.4085  5 As 3.15-3.39, 4 Na 3.29-3.48, 1 Nb 3.43, 1 Ga 3.48
Ga 0.1133 0.0147 0.9149  4 As 2.52-2.65
As 0.9455 0.0222 0.5736  1 Nb 2.53, 1 Ga 2.59
Na 0.5946 0.3355 0.2435  4 As 2.94-3.03
Na 0.7729 0.0571 0.7593  3 As 2.98-3.28, 1 Na 3.29
As 0.5122 0.2658 0.0788  1 Nb 2.51
Na 0.2662 0.9396 0.7487  3 As 2.99-3.16, 1 Ga 3.23, 1 Na 3.33
Na 0.7338 0.9396 0.2487  3 As 2.99-3.16, 1 Ga 3.23, 1 Na 3.33
Na 0.2271 0.0571 0.2593  3 As 2.98-3.28, 1 Na 3.29
As 0.0190 0.3222 0.7706  1 Ga 2.52



No. 3
A plane-wave DFT calculation with PBE was carried out for crystalline Na2GaNiAs2 at its relaxed geometry.

Results
Energy relative to the elements (meV per atom): -340
Energy (eV for the cell shown): -45.6
Total magnetic moment (μB/cell): 0.000

Lattice parameters (Å, degrees): 5.4926 5.9368 8.2942 110.97 109.34 90.00
With the nearest neighbours (Å) after each atom.
Fractional positions:
Ga 0.0000 0.7500 0.0000  4 As 2.60, 2 Ni 2.75
As 0.1690 0.8955 0.7909  2 Ni 2.46, 2 Ga 2.60
As 0.8310 0.1045 0.2091  2 Ni 2.46, 2 Ga 2.60
Na 0.9411 0.6772 0.3544  5 As 2.89-3.16, 2 Ga 3.24
Na 0.4133 0.1772 0.3544  5 As 2.89-3.16, 2 Ga 3.24
Ni 0.5000 0.7500 0.0000  4 As 2.46, 2 Ga 2.75
Ga 0.0000 0.2500 0.0000  4 As 2.60, 2 Ni 2.75
Na 0.5867 0.8228 0.6456  5 As 2.89-3.16, 2 Ga 3.24
As 0.6219 0.3955 0.7909  2 Ni 2.46, 2 Ga 2.60
As 0.3781 0.6045 0.2091  2 Ni 2.46, 2 Ga 2.60
Na 0.0589 0.3228 0.6456  5 As 2.89-3.16, 2 Ga 3.24
Ni 0.5000 0.2500 0.0000  4 As 2.46, 2 Ga 2.75



No. 4
A plane-wave DFT calculation with PBE was carried out for crystalline Na2GaAsO at its relaxed geometry.

Results
Energy (eV for the cell shown): -13.7
E_form (uncorrected) (meV/atom): 314
Total magnetic moment (μB/cell): 1.142

Lattice parameters (Å, degrees): 5.7593 4.6982 5.7593 90.00 90.00 90.00
With the nearest neighbours (Å) after each atom.
Fractional positions:
As 0.0000 0.5000 0.0000  2 Ga 2.35
Na 0.5000 0.0000 0.0000  2 Ga 2.88
O 0.5000 0.5000 0.5000  8 Na 3.72, 4 As 4.07
Ga 0.0000 0.0000 0.0000  2 As 2.35
Na 0.0000 0.0000 0.5000  2 Ga 2.88



No. 5
A plane-wave DFT calculation with PBE was carried out for crystalline Na2GaAsO4 at its relaxed geometry.

Results
Energy (eV for the cell shown): -41.9
E_form (uncorrected) (meV/atom): -1468
Total magnetic moment (μB/cell): 0.000

Lattice parameters (Å, degrees): 5.6300 5.6300 5.6300 83.50 123.82 123.82
With the nearest neighbours (Å) after each atom.
Fractional positions:
As 0.0000 0.5000 0.5000  4 O 2.03
O 0.5484 0.3623 0.4421  1 Ga 1.89, 1 As 2.03
O 0.4516 0.8937 0.8139  1 Ga 1.89, 1 As 2.03
Na 0.0000 0.0000 0.0000  4 O 2.34
Na 0.5000 0.7500 0.2500  4 O 2.41
O 0.9202 0.5579 0.1063  1 Ga 1.89, 1 As 2.03
O 0.0798 0.1861 0.6377  1 Ga 1.89, 1 As 2.03
Ga 0.5000 0.2500 0.7500  4 O 1.89



No. 6
A plane-wave DFT calculation with PBE was carried out for crystalline NaGa2AsO at its relaxed geometry.

Results
Energy (eV for the cell shown): -17.1
E_form (uncorrected) (meV/atom): -21
Total magnetic moment (μB/cell): 0.000

Lattice parameters (Å, degrees): 5.2579 3.9441 5.2579 90.00 90.00 90.00
With the nearest neighbours (Å) after each atom.
Fractional positions:
Ga 0.5000 0.0000 0.0000  2 As 2.63
Ga 0.0000 0.0000 0.5000  2 As 2.63
Na 0.5000 0.5000 0.5000  8 Ga 3.29
As 0.0000 0.0000 0.0000  2 O 1.97
O 0.0000 0.5000 0.0000  2 As 1.97